Entry 1:
The following is a PBE-GGA calculation of a geometry-optimized Nd2Sm2Er7 structure, from Alexandria via LeMat-Bulk.

formation energy from the elements = 14.61 kJ per mole of atoms

Cell: 11.2337 11.5773 6.0702 Å, 90.00 113.92 90.00°
With the nearest neighbours (Å) after each atom.
Space group C2/m (No. 12)
Unique sites:
Nd  0.0977  0.0000  0.3103 [4 per cell]  7 Er 3.43-3.76, 2 Nd 3.51-3.77, 2 Sm 3.78
Sm  0.0000  0.2895  0.0000 [4 per cell]  6 Er 3.29-3.46
Er  0.0000  0.5000  0.5000 [2 per cell]  6 Er 3.29-3.41
Er  0.1729  0.2621  0.6768 [8 per cell]  6 Er 3.27-3.60, 2 Sm 3.29-3.44, 1 Nd 3.65
Er  0.2321  0.5000  0.0767 [4 per cell]  5 Er 3.36-3.55, 3 Nd 3.43-3.76, 2 Sm 3.46

Entry 2:
The following is a PBE-GGA calculation of a geometry-optimized Li2CuI2Cl structure, from Alexandria via LeMat-Bulk.

ΔE_f (raw) = -0.98 eV/atom

Cell: 13.2783 7.3123 6.8213 Å, 90.00 90.00 90.00°
With the nearest neighbours (Å) after each atom.
Space group Cmc2_1 (No. 36)
Unique sites:
Li  0.1472  0.1939  0.0000 [8 per cell]  1 Cl 2.39
Cu  0.0000  0.3415  0.5511 [4 per cell]  2 Cl 2.36-2.45, 2 I 2.61
I  0.1589  0.1791  0.4091 [8 per cell]  1 Cu 2.61, 3 Li 2.80-2.81
Cl  0.0000  0.3557  0.8965 [4 per cell]  2 Cu 2.36-2.45, 2 Li 2.39

Entry 3:
The following is a PBE-GGA calculation of a geometry-optimized Mo3Au structure, from Alexandria via LeMat-Bulk.

formation energy from the elements = 28.33 kJ per mole of atoms

Cell: 9.4900 2.6926 5.1355 Å, 90.00 97.04 90.00°
With the nearest neighbours (Å) after each atom.
Space group C2/m (No. 12)
Unique sites:
Mo  0.0000  0.0000  0.0000 [2 per cell]  8 Mo 2.69-2.91, 4 Au 2.90
Mo  0.2478  0.0000  0.7492 [4 per cell]  9 Mo 2.69-2.91, 3 Au 2.85-2.87
Au  0.0000  0.5000  0.5000 [2 per cell]  2 Au 2.69, 10 Mo 2.85-2.90

Entry 4:
The following is a PBE-GGA calculation of a geometry-optimized PmGdHoPb structure, from Alexandria via LeMat-Bulk.

formation energy from the elements = -14.30 kJ per mole of atoms

Cell: 7.8339 7.8339 7.8339 Å, 90.00 90.00 90.00°
With the nearest neighbours (Å) after each atom.
Space group F-43m (No. 216)
Unique sites:
Pm  0.0000  0.0000  0.0000 [4 per cell]  4 Pb 3.39, 4 Ho 3.39
Gd  0.0000  0.0000  0.5000 [4 per cell]  4 Ho 3.39, 4 Pb 3.39
Ho  0.2500  0.2500  0.2500 [4 per cell]  4 Gd 3.39, 4 Pm 3.39
Pb  0.2500  0.2500  0.7500 [4 per cell]  4 Gd 3.39, 4 Pm 3.39

Entry 5:
The following is a PBE-GGA calculation of a geometry-optimized KSb3Pt structure, from Alexandria via LeMat-Bulk.

ΔE_f (raw) = 1.80 eV/atom

Cell: 5.6669 5.6669 5.6669 Å, 90.00 90.00 90.00°
With the nearest neighbours (Å) after each atom.
Space group Pm-3m (No. 221)
Unique sites:
K  0.0000  0.0000  0.0000 [1 per cell]  6 Sb 2.83
Sb  0.0000  0.0000  0.5000 [3 per cell]  2 K 2.83
Pt  0.5000  0.5000  0.5000 [1 per cell]  12 Sb 4.01

Entry 6:
The following is a PBE-GGA calculation of a geometry-optimized AlTlPt structure, from Alexandria via LeMat-Bulk.

formation energy from the elements = -21.39 kJ per mole of atoms

Cell: 4.2739 4.2739 3.9780 Å, 90.00 90.00 120.00°
With the nearest neighbours (Å) after each atom.
Space group P-6m2 (No. 187)
Unique sites:
Al  0.0000  0.0000  0.0000 [1 per cell]  3 Pt 2.47
Tl  0.6667  0.3333  0.5000 [1 per cell]  6 Al 3.17, 6 Pt 3.17
Pt  0.3333  0.6667  0.0000 [1 per cell]  3 Al 2.47

Entry 7:
The following is a PBE-GGA calculation of a geometry-optimized La2GaTcN structure, from Alexandria via LeMat-Bulk.

ΔE_f (raw) = -0.66 eV/atom

Cell: 5.2721 5.2721 3.9057 Å, 90.00 90.00 90.00°
With the nearest neighbours (Å) after each atom.
Space group P4/mmm (No. 123)
Unique sites:
La  0.0000  0.5000  0.0000 [2 per cell]  2 N 2.64
Ga  0.0000  0.0000  0.5000 [1 per cell]  8 La 3.28
Tc  0.5000  0.5000  0.5000 [1 per cell]  2 N 1.95
N  0.5000  0.5000  0.0000 [1 per cell]  2 Tc 1.95

Entry 8:
The following is a PBE-GGA calculation of a geometry-optimized NbFeI3 structure, from Alexandria via LeMat-Bulk.

ΔE_f (raw) = 1.17 eV/atom

Cell: 5.0984 5.0984 5.0984 Å, 90.00 90.00 90.00°
With the nearest neighbours (Å) after each atom.
Space group Pm-3m (No. 221)
Unique sites:
Nb  0.0000  0.0000  0.0000 [1 per cell]  12 I 3.61
Fe  0.5000  0.5000  0.5000 [1 per cell]  6 I 2.55
I  0.0000  0.5000  0.5000 [3 per cell]  2 Fe 2.55

Entry 9:
The following is a PBE-GGA calculation of a geometry-optimized Sr2Hg2Sb structure, from Alexandria via LeMat-Bulk.

ΔE_f (raw) = -0.37 eV/atom

Cell: 6.2792 6.2792 9.0071 Å, 90.00 90.00 90.00°
With the nearest neighbours (Å) after each atom.
Space group I4/mmm (No. 139)
Unique sites:
Sr  0.0000  0.5000  0.2500 [4 per cell]  4 Hg 3.26
Hg  0.0000  0.0000  0.1544 [4 per cell]  1 Hg 2.78, 1 Sb 3.11
Sb  0.0000  0.0000  0.5000 [2 per cell]  2 Hg 3.11

Entry 10:
The following is a PBE-GGA calculation of a geometry-optimized KTl4Si structure, from Alexandria via LeMat-Bulk.

ΔE_f (raw) = 0.29 eV/atom

Cell: 9.1314 9.1314 9.1314 Å, 90.00 90.00 90.00°
With the nearest neighbours (Å) after each atom.
Space group F-43m (No. 216)
Unique sites:
K  0.0000  0.0000  0.0000 [4 per cell]  12 Tl 3.79, 4 Si 3.95
Tl  0.1239  0.1239  0.3761 [16 per cell]  6 Tl 3.20-3.26
Si  0.2500  0.2500  0.7500 [4 per cell]  12 Tl 3.78, 4 K 3.95

Entry 11:
The following is a PBE-GGA calculation of a geometry-optimized Co2Sn2Hg structure, from Alexandria via LeMat-Bulk.

formation energy from the elements = 20.00 kJ per mole of atoms

Cell: 3.4039 3.4039 17.7631 Å, 90.00 90.00 90.00°
With the nearest neighbours (Å) after each atom.
Space group I4/mmm (No. 139)
Unique sites:
Co  0.0000  0.5000  0.2500 [4 per cell]  4 Co 2.41, 4 Sn 2.68
Sn  0.0000  0.0000  0.1334 [4 per cell]  4 Co 2.68
Hg  0.0000  0.0000  0.5000 [2 per cell]  8 Sn 3.38, 4 Hg 3.40

Entry 12:
The following is a PBE-GGA calculation of a geometry-optimized Ge6Ir3Pt structure, from Alexandria via LeMat-Bulk.

formation energy from the elements = -24.71 kJ per mole of atoms

Cell: 6.2921 6.2921 16.4331 Å, 90.00 90.00 120.00°
With the nearest neighbours (Å) after each atom.
Space group R3 (No. 146, hexagonal axes)
Unique sites:
Ge  0.0055  0.3267  0.0000 [9 per cell]  3 Ir 2.45-2.57, 1 Pt 2.48
Ge  0.0046  0.6521  0.1646 [9 per cell]  3 Ir 2.45-2.58, 1 Pt 2.64
Ir  0.0000  0.0000  0.0828 [3 per cell]  6 Ge 2.45-2.58
Ir  0.0000  0.0000  0.5817 [3 per cell]  6 Ge 2.45-2.57
Ir  0.0000  0.0000  0.7520 [3 per cell]  6 Ge 2.45-2.57
Pt  0.0000  0.0000  0.2533 [3 per cell]  6 Ge 2.48-2.64